Material: BaRe3Si
Method: DFT, PBE
State: optimized geometry

Values from the calculation:
The calculation puts the uncorrected formation energy at 129 kJ/mol of atoms. The calculation puts the density of states at the Fermi level at 1.36 states/eV per atom. Its space-group type is Pm-3m (221).

```
BaRe3Si
1.0
4.689 0.000 0.000
0.000 4.689 0.000
0.000 0.000 4.689
Ba Re Si
1 3 1
direct
0.000 0.000 0.000
0.000 0.500 0.500
0.500 0.000 0.500
0.500 0.500 0.000
0.500 0.500 0.500
```

Material: Mg2CuP
Method: DFT, PBE
State: optimized geometry

Values from the calculation:
The formation enthalpy at 0 K comes out at -0.095 eV/atom. The calculation puts the density of states at the Fermi level at 0.11 states/eV per atom. Its space-group type is P6_3/mmc (194).

```
Mg2CuP
1.0
3.970 0.000 0.000
-1.985 3.438 0.000
0.000 0.000 11.279
Mg Cu P
4 2 2
direct
0.333 0.667 0.106
0.333 0.667 0.394
0.667 0.333 0.606
0.667 0.333 0.894
0.333 0.667 0.750
0.667 0.333 0.250
0.000 0.000 0.000
0.000 0.000 0.500
```

Material: Ca2CdRe
Method: DFT, PBE
State: optimized geometry

Values from the calculation:
The formation enthalpy at 0 K comes out at 0.619 eV/atom. The calculation puts the density of states at the Fermi level at 1.02 states/eV per atom. Its space-group type is P4/mmm (123).

```
Ca2CdRe
1.0
4.605 0.000 0.000
0.000 4.605 0.000
0.000 0.000 4.422
Ca Cd Re
2 1 1
direct
0.000 0.500 0.000
0.500 0.000 0.000
0.000 0.000 0.500
0.500 0.500 0.500
```

Material: CsAl2Ga2
Method: DFT, PBE
State: optimized geometry

Values from the calculation:
The formation enthalpy at 0 K comes out at 0.069 eV/atom. The calculation puts the density of states at the Fermi level at 0.51 states/eV per atom. Its space-group type is I4/mmm (139).

```
CsAl2Ga2
1.0
4.668 0.000 0.000
0.000 4.668 0.000
0.000 0.000 11.690
Cs Al Ga
2 4 4
direct
0.000 0.000 0.000
0.500 0.500 0.500
0.000 0.000 0.376
0.000 0.000 0.624
0.500 0.500 0.124
0.500 0.500 0.876
0.000 0.500 0.250
0.000 0.500 0.750
0.500 0.000 0.250
0.500 0.000 0.750
```